# 1
This record from Alexandria describes an optimized crystal structure of YCr3Pt. The functional is PBE.

Computed properties:
Fermi-level density of states = 6.38 states/eV per cell
offset from the most stable computed form = 145.3 kJ/mol of atoms
space group = Pm-3m
mass density = 8.4 Mg/m³
calculated formation energy = 2312 meV/atom

Cell: 4.4325 4.4325 4.4325 Å, 90.00 90.00 90.00°
Closest atoms and distances in Å follow each position.
Atoms (fractional coordinates):
Y1 0.0000 0.0000 0.0000  6 Cr 2.22
Cr1 0.0000 0.5000 0.0000  2 Y 2.22
Cr2 0.0000 0.0000 0.5000  2 Y 2.22
Cr3 0.5000 0.0000 0.0000  2 Y 2.22
Pt1 0.5000 0.5000 0.5000  12 Cr 3.13

***

# 2
This record from Alexandria describes an optimized crystal structure of ZnCr2Pt. The functional is PBE.

Computed properties:
Fermi-level density of states = 10.15 states/eV per cell
space group = I-42d
mass density = 10.3 Mg/m³
calculated formation energy = 587 meV/atom

Cell: 6.9297 6.9297 5.4792 Å, 50.78 50.78 90.00°
Closest atoms and distances in Å follow each position.
Atoms (fractional coordinates):
Cr1 0.6378 0.1250 0.2500  2 Cr 2.46, 2 Pt 2.47, 2 Zn 2.59
Cr2 0.1122 0.6250 0.2500  2 Cr 2.46, 2 Pt 2.47, 2 Zn 2.59
Cr3 0.3750 0.3622 0.7500  2 Cr 2.46, 2 Pt 2.47, 2 Zn 2.59
Cr4 0.8750 0.8878 0.7500  2 Cr 2.46, 2 Pt 2.47, 2 Zn 2.59
Zn1 0.5000 0.5000 0.0000  2 Pt 2.45, 4 Cr 2.59
Zn2 0.2500 0.7500 0.5000  2 Pt 2.45, 4 Cr 2.59
Pt1 0.0000 0.0000 0.0000  2 Zn 2.45, 4 Cr 2.47
Pt2 0.7500 0.2500 0.5000  2 Zn 2.45, 4 Cr 2.47

***

# 3
This record from Alexandria describes an optimized crystal structure of ZnCr2Pt. The functional is PBE.

Computed properties:
Fermi-level density of states = 3.00 states/eV per cell
space group = I-4m2
mass density = 10.6 Mg/m³
calculated formation energy = -139 meV/atom

Cell: 4.6599 4.6599 4.6599 Å, 130.63 130.63 72.40°
Closest atoms and distances in Å follow each position.
Atoms (fractional coordinates):
Cr1 0.0000 0.0000 0.0000  4 Cr 2.71, 4 Zn 2.71, 4 Pt 2.75
Cr2 0.2500 0.7500 0.5000  4 Cr 2.71, 4 Pt 2.71, 4 Zn 2.75
Pt1 0.5000 0.5000 0.0000  4 Zn 2.71, 8 Cr 2.71-2.75
Zn1 0.7500 0.2500 0.5000  8 Cr 2.71-2.75, 4 Pt 2.71

***

# 4
This record from Alexandria describes an optimized crystal structure of Zn3CrPt12. The functional is PBE.

Computed properties:
Fermi-level density of states = 15.84 states/eV per cell
space group = P4/mmm
mass density = 17.8 Mg/m³
calculated formation energy = -329 meV/atom

Cell: 3.9235 3.9235 15.7053 Å, 90.00 90.00 90.00°
Closest atoms and distances in Å follow each position.
Atoms (fractional coordinates):
Zn1 0.0000 0.0000 0.2509  12 Pt 2.76-2.81
Zn2 0.0000 0.0000 0.5000  12 Pt 2.77-2.78
Zn3 0.0000 0.0000 0.7491  12 Pt 2.76-2.81
Cr1 0.0000 0.0000 0.0000  12 Pt 2.75-2.77
Pt1 0.5000 0.5000 0.0000  8 Pt 2.75, 4 Cr 2.77
Pt2 0.5000 0.5000 0.2487  4 Zn 2.77, 8 Pt 2.79
Pt3 0.5000 0.5000 0.5000  4 Zn 2.77, 8 Pt 2.78
Pt4 0.5000 0.5000 0.7513  4 Zn 2.77, 8 Pt 2.79
Pt5 0.5000 0.0000 0.1224  8 Pt 2.75-2.79, 2 Cr 2.75, 2 Zn 2.81
Pt6 0.5000 0.0000 0.3746  4 Zn 2.76-2.78, 8 Pt 2.77-2.79
Pt7 0.5000 0.0000 0.6254  4 Zn 2.76-2.78, 8 Pt 2.77-2.79
Pt8 0.5000 0.0000 0.8776  8 Pt 2.75-2.79, 2 Cr 2.75, 2 Zn 2.81
Pt9 0.0000 0.5000 0.1224  8 Pt 2.75-2.79, 2 Cr 2.75, 2 Zn 2.81
Pt10 0.0000 0.5000 0.3746  4 Zn 2.76-2.78, 8 Pt 2.77-2.79
Pt11 0.0000 0.5000 0.6254  4 Zn 2.76-2.78, 8 Pt 2.77-2.79
Pt12 0.0000 0.5000 0.8776  2 Cr 2.75, 8 Pt 2.75-2.79, 2 Zn 2.81

***

# 5
This record from Alexandria describes an optimized crystal structure of Zn2CrPt2. The functional is PBE.

Computed properties:
Fermi-level density of states = 11.80 states/eV per cell
offset from the most stable computed form = 7.5 kJ/mol of atoms
space group = P4/mbm
mass density = 12.6 Mg/m³
calculated formation energy = 29 meV/atom

Cell: 7.3444 7.3444 2.8045 Å, 90.00 90.00 90.00°
Closest atoms and distances in Å follow each position.
Atoms (fractional coordinates):
Cr1 0.0000 0.0000 0.0000  2 Cr 2.80, 4 Pt 2.83, 8 Zn 3.11
Cr2 0.5000 0.5000 0.0000  2 Cr 2.80, 4 Pt 2.83, 8 Zn 3.11
Zn1 0.1570 0.6570 0.5000  6 Pt 2.51-2.61, 2 Zn 2.80
Zn2 0.6570 0.8430 0.5000  6 Pt 2.51-2.61, 2 Zn 2.80
Zn3 0.8430 0.3430 0.5000  6 Pt 2.51-2.61, 2 Zn 2.80
Zn4 0.3430 0.1570 0.5000  6 Pt 2.51-2.61, 2 Zn 2.80
Pt1 0.3573 0.8573 0.0000  6 Zn 2.51-2.61, 2 Pt 2.80
Pt2 0.8573 0.6427 0.0000  6 Zn 2.51-2.61, 2 Pt 2.80
Pt3 0.6427 0.1427 0.0000  6 Zn 2.51-2.61, 2 Pt 2.80
Pt4 0.1427 0.3573 0.0000  6 Zn 2.51-2.61, 2 Pt 2.80

***

# 6
This record from Alexandria describes an optimized crystal structure of ZnCr2Pt. The functional is PBE.

Computed properties:
Fermi-level density of states = 3.74 states/eV per cell
space group = Cmm2
mass density = 11.2 Mg/m³
calculated formation energy = 34 meV/atom

Cell: 2.6537 2.6537 8.3148 Å, 90.00 90.00 112.14°
Closest atoms and distances in Å follow each position.
Atoms (fractional coordinates):
Cr1 0.0000 0.0000 0.0198  2 Cr 2.27
Cr2 0.5000 0.5000 0.2274  2 Cr 2.27
Pt1 0.0000 0.0000 0.4927  6 Pt 2.65-2.96, 2 Cr 2.66, 2 Zn 2.67
Zn1 0.5000 0.5000 0.7601  2 Cr 2.62, 4 Zn 2.65, 2 Pt 2.67

***

# 7
This record from Alexandria describes an optimized crystal structure of ZnCr2Pt. The functional is PBE.

Computed properties:
Fermi-level density of states = 4.28 states/eV per cell
space group = P4/mmm
mass density = 10.3 Mg/m³
calculated formation energy = 122 meV/atom

Cell: 3.1656 3.1656 5.8766 Å, 90.00 90.00 90.00°
Closest atoms and distances in Å follow each position.
Atoms (fractional coordinates):
Cr1 0.0000 0.0000 0.9999  4 Zn 2.68, 4 Pt 2.68, 2 Cr 2.94
Cr2 0.0000 0.0000 0.5001  4 Zn 2.68, 4 Pt 2.68, 2 Cr 2.94
Pt1 0.5000 0.5000 0.2500  8 Cr 2.68, 2 Zn 2.94
Zn1 0.5000 0.5000 0.7500  8 Cr 2.68, 2 Pt 2.94

***

# 8
This record from Alexandria describes an optimized crystal structure of ZnCr2Pt. The functional is PBE.

Computed properties:
Fermi-level density of states = 2.91 states/eV per cell
space group = P4mm
mass density = 11.0 Mg/m³
calculated formation energy = 16 meV/atom

Cell: 2.7132 2.7132 7.4604 Å, 90.00 90.00 90.00°
Closest atoms and distances in Å follow each position.
Atoms (fractional coordinates):
Cr1 0.0000 0.0000 0.0171  8 Cr 2.56-2.71, 4 Zn 2.75
Cr2 0.5000 0.5000 0.2434  8 Cr 2.56-2.71, 4 Pt 2.64
Pt1 0.0000 0.0000 0.4867  4 Cr 2.64, 4 Pt 2.71, 4 Zn 2.76
Zn1 0.5000 0.5000 0.7528  4 Zn 2.71, 4 Cr 2.75, 4 Pt 2.76

***

# 9
This record from Alexandria describes an optimized crystal structure of ZnCr2Pt. The functional is PBE.

Computed properties:
Fermi-level density of states = 4.64 states/eV per cell
space group = R-3m
mass density = 11.3 Mg/m³
calculated formation energy = 171 meV/atom

Cell: 8.9276 8.9276 8.9276 Å, 17.10 17.10 17.10°
Closest atoms and distances in Å follow each position.
Atoms (fractional coordinates):
Cr1 0.0001 0.0001 0.0001  6 Cr 2.66, 3 Zn 2.68, 3 Pt 2.68
Cr2 0.4999 0.4999 0.4999  6 Cr 2.66, 3 Zn 2.68, 3 Pt 2.68
Pt1 0.2500 0.2500 0.2500  6 Pt 2.66, 6 Cr 2.68
Zn1 0.7500 0.7500 0.7500  6 Zn 2.66, 6 Cr 2.68

***

# 10
This record from Alexandria describes an optimized crystal structure of Zn2CrPt2. The functional is PBE.

Computed properties:
Fermi-level density of states = 9.67 states/eV per cell
offset from the most stable computed form = 0.0 kJ/mol of atoms
space group = P4/mbm
mass density = 12.9 Mg/m³
calculated formation energy = -48 meV/atom

Cell: 7.2868 7.2868 2.7797 Å, 90.00 90.00 90.00°
Closest atoms and distances in Å follow each position.
Atoms (fractional coordinates):
Cr1 0.0000 0.0000 0.0000  2 Cr 2.78, 4 Zn 2.89, 8 Pt 3.02
Cr2 0.5000 0.5000 0.0000  2 Cr 2.78, 4 Zn 2.89, 8 Pt 3.02
Zn1 0.3775 0.8775 0.0000  6 Pt 2.49-2.62, 3 Zn 2.53-2.78
Zn2 0.8775 0.6225 0.0000  6 Pt 2.49-2.62, 3 Zn 2.53-2.78
Zn3 0.6225 0.1225 0.0000  6 Pt 2.49-2.62, 3 Zn 2.53-2.78
Zn4 0.1225 0.3775 0.0000  6 Pt 2.49-2.62, 3 Zn 2.53-2.78
Pt1 0.1770 0.6770 0.5000  6 Zn 2.49-2.62, 2 Pt 2.78
Pt2 0.6770 0.8230 0.5000  6 Zn 2.49-2.62, 2 Pt 2.78
Pt3 0.8230 0.3230 0.5000  6 Zn 2.49-2.62, 2 Pt 2.78
Pt4 0.3230 0.1770 0.5000  6 Zn 2.49-2.62, 2 Pt 2.78

***

# 11
This record from Alexandria describes an optimized crystal structure of ZnCr2Pt. The functional is PBE.

Computed properties:
Fermi-level density of states = 3.68 states/eV per cell
space group = C2/m
mass density = 11.4 Mg/m³
calculated formation energy = 58 meV/atom

Cell: 4.7962 4.7962 4.3201 Å, 78.87 78.87 33.12°
Closest atoms and distances in Å follow each position.
Atoms (fractional coordinates):
Cr1 0.0044 0.0044 0.9949  6 Cr 2.53-2.73, 3 Pt 2.67-2.75, 3 Zn 2.71-2.74
Cr2 0.4956 0.4956 0.5051  6 Cr 2.53-2.73, 3 Pt 2.67-2.75, 3 Zn 2.71-2.74
Pt1 0.7500 0.7500 0.7500  4 Zn 2.56, 6 Cr 2.67-2.75, 2 Pt 2.73
Zn1 0.2500 0.2500 0.2500  4 Pt 2.56, 6 Cr 2.71-2.74, 2 Zn 2.73

***

# 12
This record from Alexandria describes an optimized crystal structure of ZnCrPt6. The functional is PBE.

Computed properties:
Fermi-level density of states = 10.83 states/eV per cell
space group = P4/mmm
mass density = 17.7 Mg/m³
calculated formation energy = -313 meV/atom

Cell: 3.9246 3.9246 7.8300 Å, 90.00 90.00 90.00°
Closest atoms and distances in Å follow each position.
Atoms (fractional coordinates):
Zn1 0.0000 0.0000 0.0000  12 Pt 2.78-2.79
Cr1 0.0000 0.0000 0.5000  12 Pt 2.75-2.78
Pt1 0.5000 0.5000 0.0000  4 Zn 2.78, 8 Pt 2.79
Pt2 0.5000 0.5000 0.5000  8 Pt 2.75, 4 Cr 2.78
Pt3 0.5000 0.0000 0.2541  2 Cr 2.75, 8 Pt 2.75-2.79, 2 Zn 2.79
Pt4 0.5000 0.0000 0.7459  2 Cr 2.75, 8 Pt 2.75-2.79, 2 Zn 2.79
Pt5 0.0000 0.5000 0.2541  8 Pt 2.75-2.79, 2 Cr 2.75, 2 Zn 2.79
Pt6 0.0000 0.5000 0.7459  2 Cr 2.75, 8 Pt 2.75-2.79, 2 Zn 2.79